Entry 1:
A plane-wave DFT calculation with PBE was carried out for MnGeAs2 after structural relaxation.

abc: 7.0138 7.0138 7.0138
angles: 131.23 131.23 71.44
Closest atoms and distances in Å follow each position.
Atoms (fractional coordinates):
Mn (0.0000, 0.0000, 0.0000)  4 As 2.48
Mn (0.7500, 0.2500, 0.5000)  4 As 2.48
Ge (0.2500, 0.7500, 0.5000)  4 As 2.51
Ge (0.5000, 0.5000, 0.0000)  4 As 2.51
As (0.1195, 0.6250, 0.9945)  2 Mn 2.48, 2 Ge 2.51
As (0.3750, 0.3695, 0.4945)  2 Mn 2.48, 2 Ge 2.51
As (0.6305, 0.1250, 0.0055)  2 Mn 2.48, 2 Ge 2.51
As (0.8750, 0.8805, 0.5055)  2 Mn 2.48, 2 Ge 2.51

Calculated values
The formation energy is 0.048 eV per atom. Its space group is No. 122.

***

Entry 2:
A plane-wave DFT calculation with PBE was carried out for Mn2GeAs after structural relaxation.

abc: 8.7020 8.7020 8.7020
angles: 154.29 154.29 36.67
Closest atoms and distances in Å follow each position.
Atoms (fractional coordinates):
Mn (0.1186, 0.6250, 0.9936)  2 As 2.47, 2 Ge 2.49, 2 Mn 2.70
Mn (0.3750, 0.3686, 0.4936)  2 As 2.47, 2 Ge 2.49, 2 Mn 2.70
Mn (0.6314, 0.1250, 0.0064)  2 As 2.47, 2 Ge 2.49, 2 Mn 2.70
Mn (0.8750, 0.8814, 0.5064)  2 As 2.47, 2 Ge 2.49, 2 Mn 2.70
Ge (0.2500, 0.7500, 0.5000)  4 Mn 2.49, 4 As 2.74
Ge (0.5000, 0.5000, 0.0000)  4 Mn 2.49, 4 As 2.74
As (0.0000, 0.0000, 0.0000)  4 Mn 2.47, 4 Ge 2.74
As (0.7500, 0.2500, 0.5000)  4 Mn 2.47, 4 Ge 2.74

Calculated values
The formation energy is 0.249 eV per atom. Its space group is No. 122.

***

Entry 3:
A plane-wave DFT calculation with PBE was carried out for Mn2NbGeAs after structural relaxation.

abc: 4.7446 4.7446 4.9658
angles: 90.00 90.00 90.00
Closest atoms and distances in Å follow each position.
Atoms (fractional coordinates):
Mn (0.0000, 0.5000, 0.0000)  2 Nb 2.37
Mn (0.5000, 0.0000, 0.0000)  2 Nb 2.37
Nb (0.0000, 0.0000, 0.0000)  4 Mn 2.37, 2 Ge 2.48
Ge (0.0000, 0.0000, 0.5000)  2 Nb 2.48
As (0.5000, 0.5000, 0.5000)  4 Ge 3.35, 8 Mn 3.43

Calculated values
The formation energy is 1.139 eV per atom. Its space group is No. 123.

***

Entry 4:
A plane-wave DFT calculation with PBE was carried out for Mn2GeAsOs after structural relaxation.

abc: 4.3484 4.3484 4.5826
angles: 90.00 90.00 90.00
Closest atoms and distances in Å follow each position.
Atoms (fractional coordinates):
Mn (0.0000, 0.5000, 0.0000)  2 Ge 2.17
Mn (0.5000, 0.0000, 0.0000)  2 Ge 2.17
Ge (0.0000, 0.0000, 0.0000)  4 Mn 2.17, 2 Os 2.29
As (0.5000, 0.5000, 0.5000)  4 Os 3.07, 8 Mn 3.16
Os (0.0000, 0.0000, 0.5000)  2 Ge 2.29

Calculated values
The formation energy is 1.487 eV per atom. Its space group is No. 123.

***

Entry 5:
A plane-wave DFT calculation with PBE was carried out for MnGeAsRh2 after structural relaxation.

abc: 4.5591 4.5591 4.4032
angles: 90.00 90.00 90.00
Closest atoms and distances in Å follow each position.
Atoms (fractional coordinates):
Mn (0.0000, 0.0000, 0.0000)  2 As 2.20
Ge (0.5000, 0.5000, 0.0000)  8 Rh 3.17, 4 Mn 3.22
As (0.0000, 0.0000, 0.5000)  2 Mn 2.20, 4 Rh 2.28
Rh (0.0000, 0.5000, 0.5000)  2 As 2.28
Rh (0.5000, 0.0000, 0.5000)  2 As 2.28

Calculated values
The formation energy is 0.680 eV per atom. Its space group is No. 123.

***

Entry 6:
A plane-wave DFT calculation with PBE was carried out for MnGeAs2Se after structural relaxation.

abc: 4.5189 4.5189 5.2936
angles: 90.00 90.00 90.00
Closest atoms and distances in Å follow each position.
Atoms (fractional coordinates):
Mn (0.0000, 0.0000, 0.0000)  4 As 2.26
Ge (0.5000, 0.5000, 0.5000)  4 Se 3.20, 8 As 3.48
As (0.0000, 0.5000, 0.0000)  2 Mn 2.26
As (0.5000, 0.0000, 0.0000)  2 Mn 2.26
Se (0.0000, 0.0000, 0.5000)  2 Mn 2.65

Calculated values
The calculation puts the uncorrected formation energy at 0.39 eV/atom. Its space group is No. 123.

***

Entry 7:
A plane-wave DFT calculation with PBE was carried out for MnGeAs2Se after structural relaxation.

abc: 4.9307 4.9307 4.9905
angles: 90.00 90.00 90.00
Closest atoms and distances in Å follow each position.
Atoms (fractional coordinates):
Mn (0.0000, 0.0000, 0.0000)  4 Se 3.49, 8 As 3.51
Ge (0.5000, 0.5000, 0.5000)  4 As 2.47, 2 Se 2.50
As (0.0000, 0.5000, 0.5000)  2 Ge 2.47
As (0.5000, 0.0000, 0.5000)  2 Ge 2.47
Se (0.5000, 0.5000, 0.0000)  2 Ge 2.50

Calculated values
The calculation puts the uncorrected formation energy at 0.81 eV/atom. Its space group is No. 123.

***

Entry 8:
A plane-wave DFT calculation with PBE was carried out for TiMn2GeAs after structural relaxation.

abc: 4.5718 4.5718 5.2543
angles: 90.00 90.00 90.00
Closest atoms and distances in Å follow each position.
Atoms (fractional coordinates):
Ti (0.0000, 0.0000, 0.0000)  4 Ge 3.23, 8 Mn 3.48
Mn (0.0000, 0.5000, 0.5000)  2 As 2.29
Mn (0.5000, 0.0000, 0.5000)  2 As 2.29
Ge (0.5000, 0.5000, 0.0000)  2 As 2.63
As (0.5000, 0.5000, 0.5000)  4 Mn 2.29

Calculated values
The formation energy is 0.692 eV per atom. Its space group is No. 123.

***

Number 1: total moment 8.3 μB/cell, D(E_F) 6.0 states/eV per cell. Number 2: total moment 9.5 μB/cell, D(E_F) 8.1 states/eV per cell. Number 3: total moment 5.7 μB/cell, D(E_F) 4.5 states/eV per cell. Number 4: total moment 0.3 μB/cell, D(E_F) 15.9 states/eV per cell. Number 5: total moment 0.6 μB/cell, D(E_F) 8.3 states/eV per cell. Number 6: total moment 1.8 μB/cell, D(E_F) 3.4 states/eV per cell. Number 7: total moment 4.1 μB/cell, D(E_F) 3.2 states/eV per cell. Number 8: total moment 4.9 μB/cell, D(E_F) 2.5 states/eV per cell.